Record 1
4
Lattice="5.256 0.008 0.009 2.598 4.569 -0.009 -3.343 -3.289 2.372" Properties=species:S:1:pos:R:3 comment="Ni2HgIr (GGA-PBE, relaxed)" formation_enthalpy_0k_ev_per_atom=0.3065 spacegroup="Imm2 (44)" pbc="T T T"
Hg 3.990 2.325 0.000
Ir 1.437 1.694 1.181
Ni 7.807 4.549 0.000
Ni 3.056 -0.417 1.191

---

Record 2
5
Lattice="5.104 0.000 0.000 0.000 5.024 0.000 0.000 0.000 5.104" Properties=species:S:1:pos:R:3 comment="LiNbAsSe2 (GGA-PBE, relaxed)" e_above_lowest_polymorph_mev_per_atom=0 spacegroup="P4/mmm (123)" pbc="T T T"
Nb 0.000 0.000 0.000
As 0.000 2.512 0.000
Se 0.000 0.000 2.552
Se 2.552 0.000 0.000
Li 2.552 2.512 2.552

---

Record 3
22
Lattice="-1.545 0.146 -2.807 -0.816 -5.124 2.014 -13.532 5.188 7.716" Properties=species:S:1:pos:R:3 comment="PmHf4N6 (GGA-PBE, relaxed)" total_energy_ev_per_atom=-10.33 spacegroup="Cmcm (63)" pbc="T T T"
Pm -4.631 -0.142 0.708
Pm -11.261 0.353 6.215
Hf -9.348 -0.818 3.269
Hf -3.097 -3.280 1.533
Hf -6.544 1.028 3.654
Hf -12.795 3.490 5.390
Hf -14.839 1.288 6.400
Hf -1.053 -1.077 0.523
Hf -9.716 2.310 3.634
Hf -6.176 -2.099 3.289
N -0.772 0.073 -1.404
N -7.538 2.667 2.454
N -4.758 1.454 2.694
N -11.134 -1.244 4.229
N -13.677 -0.269 5.679
N -2.215 0.479 1.244
N -7.293 -0.487 2.155
N -8.599 0.697 4.768
N -13.158 2.445 7.367
N -2.734 -2.235 -0.444
N -4.391 -1.910 2.317
N -11.501 2.121 4.606

---

Record 4
14
Lattice="6.024 0.000 -1.752 -0.213 6.147 -0.731 0.215 -0.853 11.968" Properties=species:S:1:pos:R:3 comment="Tl2Pb5 (GGA-PBE, relaxed)" e_above_lowest_polymorph_mev_per_atom=0 formation_enthalpy_0k_ev_per_atom=0.0164 spacegroup="C2/c (15)" pbc="T T T"
Tl 3.329 2.963 8.861
Tl 3.976 5.405 -0.145
Tl 2.697 2.332 0.624
Tl 2.050 -0.111 9.630
Pb 0.091 3.136 2.975
Pb 4.400 5.232 6.560
Pb 2.509 1.447 5.889
Pb 5.091 0.774 3.535
Pb 3.517 3.847 3.596
Pb 0.935 4.521 5.950
Pb 1.626 0.063 2.925
Pb 5.935 2.158 6.510
Pb 0.526 4.610 -0.747
Pb 5.285 1.537 -1.736

---

Record 5
4
Lattice="4.382 0.000 0.000 2.191 3.795 0.000 2.191 1.265 3.578" Properties=species:S:1:pos:R:3 comment="ScCu2Ir (GGA-PBE, relaxed)" e_above_lowest_polymorph_mev_per_atom=113 formation_enthalpy_0k_ev_per_atom=-0.2982 spacegroup="F-43m (216)" pbc="T T T"
Cu 0.000 0.000 0.000
Cu 2.191 1.265 0.895
Ir 4.382 2.530 1.789
Sc 6.573 3.795 2.684

---

Record 6
4
Lattice="3.868 0.000 0.000 0.000 3.871 0.000 0.000 0.000 5.625" Properties=species:S:1:pos:R:3 comment="ScAs2Br (GGA-PBE, relaxed)" e_above_lowest_polymorph_mev_per_atom=392 spacegroup="P4/mmm (123)" pbc="T T T"
As 0.000 0.000 0.000
As 1.934 1.935 0.000
Br 1.934 0.000 2.812
Sc 0.000 1.935 2.812

---

Record 7
12
Lattice="-1.555 -2.521 5.979 5.257 -0.146 4.107 -1.821 8.962 4.740" Properties=species:S:1:pos:R:3 comment="CsFe2CoBr8 (GGA-PBE, relaxed)" total_energy_ev_per_atom=-3.83 spacegroup="C2/m (12)" pbc="T T T"
Cs -0.911 4.481 2.370
Fe 1.915 0.107 7.103
Fe -0.034 6.187 7.724
Co 0.000 0.000 0.000
Br -1.303 5.296 9.584
Br 2.828 -1.972 7.789
Br 1.777 1.797 8.745
Br 0.104 4.497 6.081
Br -0.947 8.267 7.038
Br 2.190 6.514 8.624
Br -0.310 -0.219 6.202
Br 3.183 0.998 5.243

---

Record 8
5
Lattice="3.662 0.000 0.000 0.000 3.662 0.000 0.000 0.000 4.944" Properties=species:S:1:pos:R:3 comment="VHSN2 (GGA-PBE, relaxed)" e_above_lowest_polymorph_mev_per_atom=0 spacegroup="P4/mmm (123)" pbc="T T T"
H 1.831 1.831 2.472
S 0.000 0.000 2.472
N 0.000 1.831 0.000
N 1.831 0.000 0.000
V 0.000 0.000 0.000

---

Record 9
4
Lattice="-0.975 0.849 -4.249 -4.032 -0.973 -1.590 -2.833 3.266 -1.019" Properties=species:S:1:pos:R:3 comment="PuV2Os (GGA-PBE, relaxed)" e_above_lowest_polymorph_mev_per_atom=52 formation_enthalpy_0k_ev_per_atom=0.0828 spacegroup="Fm-3m (225)" pbc="T T T"
V -1.960 0.785 -1.715
V -5.880 2.356 -5.144
Os -3.920 1.571 -3.429
Pu 0.000 0.000 0.000

---

Record 10
12
Lattice="6.284 0.000 0.000 0.000 7.755 0.000 0.000 0.000 7.755" Properties=species:S:1:pos:R:3 comment="Th4InPb (GGA-PBE, relaxed)" formation_enthalpy_0k_ev_per_atom=-0.1997 spacegroup="P4/mcc (124)" pbc="T T T"
Th 0.000 1.200 5.043
Th 0.000 6.555 2.712
Th 0.000 2.712 1.200
Th 0.000 5.043 6.555
Th 3.142 6.555 5.043
Th 3.142 1.200 2.712
Th 3.142 5.043 1.200
Th 3.142 2.712 6.555
In 1.571 3.878 3.878
In 4.713 3.878 3.878
Pb 1.571 0.000 0.000
Pb 4.713 0.000 0.000

---

Record 11
4
Lattice="-3.231 -1.916 1.734 1.777 -1.524 1.628 1.524 2.866 6.007" Properties=species:S:1:pos:R:3 comment="HgWAu2 (GGA-PBE, relaxed)" formation_enthalpy_0k_ev_per_atom=0.4852 spacegroup="Pmmm (47)" pbc="T T T"
Au 1.533 2.765 5.912
Au 1.642 0.772 3.913
Hg -0.790 -0.622 2.776
W 0.861 0.049 6.593

---

Record 12
10
Lattice="-1.365 0.931 -3.140 -1.934 -2.975 -0.041 -14.547 9.335 9.094" Properties=species:S:1:pos:R:3 comment="Er5PuAg4 (GGA-PBE, relaxed)" formation_enthalpy_0k_ev_per_atom=-0.2292 spacegroup="P4/mmm (123)" pbc="T T T"
Er -3.439 0.126 -0.472
Er -6.170 1.879 1.235
Er -8.923 3.646 2.956
Er -11.676 5.412 4.677
Er -14.407 7.165 6.385
Pu 0.000 0.000 0.000
Ag -3.146 2.019 1.967
Ag -5.909 3.792 3.694
Ag -8.638 5.543 5.400
Ag -11.401 7.316 7.127